No. 1
## Nd3Ti12Bi13O48 (GGA-PBEsol)

Data for a relaxed Nd3Ti12Bi13O48 crystal.

Results
As for the space-group type: P1, No. 1. The calculation puts the raw formation energy at -181.17 eV per formula unit.

Unit cell a=5.387 b=10.767 c=16.664 alpha=90.00 beta=80.94 gamma=89.95
Element x y z (fractional)
1 Nd 0.000 0.000 0.000
2 Nd 0.007 0.500 0.002
3 Nd 0.500 0.255 0.000
4 Ti 0.081 0.252 0.873
5 Ti 0.083 0.750 0.871
6 Ti 0.201 0.752 0.615
7 Ti 0.202 0.252 0.614
8 Ti 0.438 0.006 0.125
9 Ti 0.439 0.501 0.126
10 Ti 0.579 0.504 0.873
11 Ti 0.582 0.003 0.871
12 Ti 0.700 0.003 0.615
13 Ti 0.702 0.503 0.615
14 Ti 0.940 0.251 0.124
15 Ti 0.949 0.752 0.127
16 Bi 0.182 0.002 0.740
17 Bi 0.184 0.502 0.740
18 Bi 0.339 0.993 0.449
19 Bi 0.340 0.492 0.449
20 Bi 0.415 0.243 0.293
21 Bi 0.415 0.742 0.293
22 Bi 0.531 0.756 0.008
23 Bi 0.684 0.253 0.739
24 Bi 0.684 0.751 0.741
25 Bi 0.839 0.263 0.449
26 Bi 0.839 0.763 0.449
27 Bi 0.915 0.013 0.293
28 Bi 0.916 0.513 0.293
29 O 0.013 0.282 0.987
30 O 0.098 0.714 0.753
31 O 0.102 0.218 0.755
32 O 0.110 0.130 0.372
33 O 0.112 0.380 0.369
34 O 0.112 0.630 0.373
35 O 0.113 0.880 0.369
36 O 0.172 0.888 0.110
37 O 0.178 0.385 0.112
38 O 0.211 0.632 0.091
39 O 0.212 0.131 0.087
40 O 0.247 0.599 0.886
41 O 0.251 0.281 0.509
42 O 0.251 0.782 0.510
43 O 0.259 0.104 0.892
44 O 0.358 0.858 0.855
45 O 0.374 0.350 0.858
46 O 0.380 0.033 0.231
47 O 0.382 0.101 0.622
48 O 0.382 0.601 0.623
49 O 0.385 0.529 0.233
50 O 0.447 0.862 0.652
51 O 0.451 0.361 0.650
52 O 0.503 0.474 0.986
53 O 0.526 0.972 0.985
54 O 0.598 0.042 0.754
55 O 0.600 0.536 0.753
56 O 0.610 0.125 0.372
57 O 0.612 0.625 0.373
58 O 0.612 0.875 0.369
59 O 0.613 0.375 0.369
60 O 0.668 0.865 0.114
61 O 0.679 0.369 0.110
62 O 0.711 0.123 0.088
63 O 0.714 0.622 0.091
64 O 0.750 0.473 0.509
65 O 0.751 0.653 0.886
66 O 0.751 0.972 0.510
67 O 0.760 0.151 0.890
68 O 0.867 0.901 0.852
69 O 0.871 0.403 0.860
70 O 0.881 0.222 0.231
71 O 0.881 0.654 0.623
72 O 0.883 0.154 0.623
73 O 0.891 0.726 0.233
74 O 0.947 0.893 0.652
75 O 0.951 0.394 0.650
76 O 0.979 0.781 0.985

***

No. 2
## ZnRe2Ni (GGA-PBEsol)

Data for a relaxed ZnRe2Ni crystal.

Results
As for the space-group type: Immm, No. 71. Its formation energy is 18.7 kJ per mole of atoms.

Unit cell a=4.857 b=4.857 c=4.857 alpha=140.80 beta=131.82 gamma=63.79
Element x y z (fractional)
1 Zn 0.000 0.000 0.000
2 Re 0.252 0.752 0.500
3 Re 0.748 0.248 0.500
4 Ni 0.500 0.500 0.000

***

No. 3
## W2C (GGA-PBEsol)

Data for a relaxed W2C crystal.

Results
As for the space-group type: I4/mcm, No. 140. Its formation energy is 31.7 kJ per mole of atoms.

Unit cell a=4.513 b=4.513 c=4.513 alpha=108.66 beta=108.66 gamma=111.11
Element x y z (fractional)
1 W 0.178 0.678 0.855
2 W 0.322 0.178 0.500
3 W 0.678 0.822 0.500
4 W 0.822 0.322 0.145
5 C 0.250 0.250 0.000
6 C 0.750 0.750 0.000

***

No. 4
## LiAgTe2 (GGA-PBEsol)

Data for a relaxed LiAgTe2 crystal.

Results
As for the space-group type: Amm2, No. 38. The calculation puts the raw formation energy at -1.32 eV per formula unit.

Unit cell a=4.387 b=7.686 c=7.686 alpha=23.04 beta=90.00 gamma=90.00
Element x y z (fractional)
1 Li 0.000 0.000 0.000
2 Ag 0.500 0.753 0.753
3 Te 0.000 0.329 0.329
4 Te 0.500 0.570 0.570

***

No. 5
## SrZrAg2 (GGA-PBEsol)

Data for a relaxed SrZrAg2 crystal.

Results
As for the space-group type: I-4m2, No. 119. Its formation energy is 27.1 kJ per mole of atoms.

Unit cell a=5.778 b=5.778 c=5.778 alpha=136.62 beta=136.62 gamma=63.03
Element x y z (fractional)
1 Sr 0.000 0.000 0.000
2 Zr 0.750 0.250 0.500
3 Ag 0.250 0.750 0.500
4 Ag 0.500 0.500 0.000

***

No. 6
## ThNi2B2C (GGA-PBEsol)

Data for a relaxed ThNi2B2C crystal.

Results
As for the space-group type: I4/mmm, No. 139. Its formation energy is -51.9 kJ per mole of atoms.

Unit cell a=5.612 b=5.612 c=5.612 alpha=141.82 beta=141.82 gamma=55.10
Element x y z (fractional)
1 Th 0.000 0.000 0.000
2 Ni 0.250 0.750 0.500
3 Ni 0.750 0.250 0.500
4 B 0.349 0.349 0.000
5 B 0.651 0.651 0.000
6 C 0.500 0.500 0.000